1.
A plane-wave DFT calculation with GGA-PBE was carried out for crystalline Th2GaGeIr6 at its relaxed geometry.

Computed properties:
The crystal system is triclinic. Its energy relative to the elements is -0.553 eV per atom.

Lattice parameters (Å, degrees): 5.542 6.427 6.466 73.07 64.82 64.63
Sites, in units of the cell vectors:
Th (0.013, 0.241, 0.237)
Th (0.987, 0.759, 0.763)
Ga (0.500, 0.500, 0.000)
Ge (0.500, 0.000, 0.500)
Ir (0.001, 0.206, 0.791)
Ir (0.325, 0.440, 0.438)
Ir (0.499, 0.801, 0.201)
Ir (0.501, 0.199, 0.799)
Ir (0.675, 0.560, 0.562)
Ir (0.999, 0.794, 0.209)

=====

2.
A plane-wave DFT calculation with GGA-PBE was carried out for crystalline LaTlW2 at its relaxed geometry.

Computed properties:
The crystal system is orthorhombic. Its energy relative to the elements is 0.523 eV per atom. The value obtained for the energy above the most stable polymorph in this dataset is 0.187 eV/atom.

Lattice parameters (Å, degrees): 3.053 3.053 10.197 90.00 90.00 113.61
Sites, in units of the cell vectors:
La (0.000, 0.000, 0.000)
Tl (0.500, 0.500, 0.699)
W (0.000, 0.000, 0.448)
W (0.500, 0.500, 0.259)

=====

3.
A plane-wave DFT calculation with GGA-PBE was carried out for crystalline Al2Cd2Te at its relaxed geometry.

Computed properties:
The value obtained for the raw formation energy is 137 meV/atom. The crystal system is tetragonal. The value obtained for the energy above the most stable polymorph in this dataset is 0.000 eV/atom.

Lattice parameters (Å, degrees): 8.848 8.848 2.966 90.00 90.00 90.00
Sites, in units of the cell vectors:
Al (0.111, 0.389, 0.000)
Al (0.389, 0.889, 0.000)
Al (0.611, 0.111, 0.000)
Al (0.889, 0.611, 0.000)
Cd (0.185, 0.685, 0.500)
Cd (0.315, 0.185, 0.500)
Cd (0.685, 0.815, 0.500)
Cd (0.815, 0.315, 0.500)
Te (0.000, 0.000, 0.500)
Te (0.500, 0.500, 0.500)

=====

4.
A plane-wave DFT calculation with GGA-PBE was carried out for crystalline NiSe2Br at its relaxed geometry.

Computed properties:
The value obtained for the raw formation energy is -102 meV/atom. The crystal system is monoclinic. The value obtained for the energy above the most stable polymorph in this dataset is 0.136 eV/atom.

Lattice parameters (Å, degrees): 7.874 7.874 6.429 93.82 93.82 147.53
Sites, in units of the cell vectors:
Ni (0.205, 0.795, 0.750)
Ni (0.795, 0.205, 0.250)
Se (0.004, 0.342, 0.636)
Se (0.342, 0.004, 0.136)
Se (0.658, 0.996, 0.864)
Se (0.996, 0.658, 0.364)
Br (0.393, 0.607, 0.250)
Br (0.607, 0.393, 0.750)

=====

5.
A plane-wave DFT calculation with GGA-PBE was carried out for crystalline Pr2TlCd16 at its relaxed geometry.

Computed properties:
The crystal system is trigonal. Its energy relative to the elements is -0.148 eV per atom.

Lattice parameters (Å, degrees): 7.715 7.715 7.715 83.07 83.07 83.07
Sites, in units of the cell vectors:
Pr (0.000, 0.000, 0.000)
Pr (0.337, 0.337, 0.337)
Tl (0.771, 0.771, 0.771)
Cd (0.027, 0.027, 0.502)
Cd (0.027, 0.502, 0.027)
Cd (0.179, 0.662, 0.662)
Cd (0.312, 0.312, 0.836)
Cd (0.312, 0.836, 0.312)
Cd (0.362, 0.669, 0.974)
Cd (0.362, 0.974, 0.669)
Cd (0.502, 0.027, 0.027)
Cd (0.569, 0.569, 0.569)
Cd (0.662, 0.179, 0.662)
Cd (0.662, 0.662, 0.179)
Cd (0.669, 0.362, 0.974)
Cd (0.669, 0.974, 0.362)
Cd (0.836, 0.312, 0.312)
Cd (0.974, 0.362, 0.669)
Cd (0.974, 0.669, 0.362)

=====

6.
A plane-wave DFT calculation with GGA-PBE was carried out for crystalline Ti4NbSn3 at its relaxed geometry.

Computed properties:
The crystal system is monoclinic. Its energy relative to the elements is -0.217 eV per atom.

Lattice parameters (Å, degrees): 9.462 9.462 4.480 103.63 103.63 22.74
Sites, in units of the cell vectors:
Ti (0.120, 0.120, 0.121)
Ti (0.257, 0.257, 0.757)
Ti (0.743, 0.743, 0.243)
Ti (0.880, 0.880, 0.879)
Nb (0.000, 0.000, 0.500)
Sn (0.363, 0.363, 0.363)
Sn (0.500, 0.500, 0.000)
Sn (0.637, 0.637, 0.637)

=====

Number 1: DFT total energy -8.118 eV per atom. Number 2: DFT total energy -7.777 eV per atom. Number 3: DFT total energy -2.354 eV per atom. Number 4: DFT total energy -3.708 eV per atom. Number 5: DFT total energy -1.547 eV per atom. Number 6: DFT total energy -6.924 eV per atom.